Entry 1:
Entry from Alexandria via LeMat-Bulk: a geometry-optimized Sm3MgB2Pt9 structure (PBE).

POSCAR file:
```
Sm3MgB2Pt9
1.0
-3.7430 -1.5008 -4.1443
-0.3304 -2.4592 5.2231
-5.8611 6.8002 2.8309
Pt Sm Mg B
9 3 1 2
direct
0.3298 0.1649 0.7178
0.6702 0.8351 0.2822
0.1649 0.3298 0.2822
0.8351 0.1649 0.7178
0.5000 0.5000 0.0000
0.0000 0.5000 0.0000
0.8351 0.6702 0.7178
0.5000 0.0000 0.0000
0.1649 0.8351 0.2822
0.3333 0.6667 0.6184
0.0000 0.0000 0.0000
0.6667 0.3333 0.3816
0.0000 0.0000 0.5000
0.6667 0.3333 0.8516
0.3333 0.6667 0.1484
```

## Properties
* calculated total energy: -6.40 eV per atom
* density of states at the Fermi level: 0.2146 states/eV per atom
* ΔE_f: -832 meV/atom

Entry 2:
Entry from Alexandria via LeMat-Bulk: a geometry-optimized Er2FeC4 structure (PBE).

POSCAR file:
```
Er2FeC4
1.0
-5.2887 0.0506 -3.8362
3.2129 -2.5392 -5.0910
-1.5508 -2.0868 5.9941
Er Fe C
4 2 8
direct
0.8001 0.6446 0.1556
0.4890 0.1446 0.3444
0.5110 0.8554 0.6556
0.1999 0.3554 0.8444
0.0000 0.7500 0.7500
0.0000 0.2500 0.2500
0.2095 0.8707 0.3388
0.4682 0.6293 0.8388
0.2443 0.5782 0.6661
0.7905 0.1293 0.6612
0.7557 0.4218 0.3339
0.0880 0.9218 0.1661
0.5318 0.3707 0.1612
0.9120 0.0782 0.8339
```

## Properties
* calculated total energy: -8.09 eV per atom
* density of states at the Fermi level: 0.1306 states/eV per atom
* ΔE_f: -311 meV/atom

Entry 3:
Entry from Alexandria via LeMat-Bulk: a geometry-optimized CsSmZnO3 structure (PBE).

POSCAR file:
```
CsSmZnO3
1.0
-2.4050 2.1030 -1.7860
-1.8807 -6.4099 -5.0150
-5.2173 -0.2620 6.7169
Zn O Cs Sm
2 6 2 2
direct
0.2500 0.0764 0.6162
0.7500 0.9236 0.3838
0.7500 0.4721 0.1327
0.2500 0.5279 0.8673
0.7500 0.8422 0.1458
0.7500 0.1560 0.5498
0.2500 0.8440 0.4502
0.2500 0.1578 0.8542
0.2500 0.2059 0.2239
0.7500 0.7941 0.7761
0.7500 0.3439 0.8541
0.2500 0.6561 0.1459
```

## Properties
* calculated total energy: -5.78 eV per atom
* density of states at the Fermi level: 0.0000 states/eV per atom
* formation energy without anion corrections: -2.1628 eV/atom

Entry 4:
Entry from Alexandria via LeMat-Bulk: a geometry-optimized Ce12Pu2Pb5 structure (PBE).

POSCAR file:
```
Ce12Pu2Pb5
1.0
7.3205 0.3312 2.0527
1.7542 8.2260 3.2335
0.5109 -0.0110 8.9966
Ce Pb Pu
12 5 2
direct
0.9589 0.8978 0.8978
0.7490 0.4920 0.4920
0.1929 0.8933 0.3828
0.3405 0.6626 0.0829
0.8071 0.1067 0.6172
0.1929 0.3828 0.8933
0.6595 0.9171 0.3374
0.2510 0.5080 0.5080
0.3405 0.0829 0.6626
0.6595 0.3374 0.9171
0.0411 0.1022 0.1022
0.8071 0.6172 0.1067
0.1758 0.2984 0.2984
0.5000 0.0000 0.0000
0.8242 0.7016 0.7016
0.3777 0.7005 0.7005
0.6223 0.2995 0.2995
0.0000 0.2945 0.7055
0.0000 0.7055 0.2945
```

## Properties
* calculated total energy: -6.38 eV per atom
* density of states at the Fermi level: 2.3081 states/eV per atom
* ΔE_f: -148 meV/atom

Entry 5:
Entry from Alexandria via LeMat-Bulk: a geometry-optimized Ce2Sn8Ru structure (PBE).

POSCAR file:
```
Ce2Sn8Ru
1.0
-4.2433 -2.0103 -0.4340
-0.2927 -0.3946 4.6897
-5.3048 11.0678 0.6002
Ru Sn Ce
1 8 2
direct
0.0000 0.0000 0.0000
0.5000 0.0000 0.5000
0.0000 0.5000 0.8777
0.5000 0.0000 0.8777
0.5000 0.5000 0.6917
0.0000 0.5000 0.5000
0.5000 0.0000 0.1223
0.5000 0.5000 0.3083
0.0000 0.5000 0.1223
0.0000 0.0000 0.6898
0.0000 0.0000 0.3102
```

## Properties
* calculated total energy: -5.27 eV per atom
* density of states at the Fermi level: 0.8698 states/eV per atom
* ΔE_f: -436 meV/atom

Entry 6:
Entry from Alexandria via LeMat-Bulk: a geometry-optimized KPm4 structure (PBE).

POSCAR file:
```
KPm4
1.0
-4.0982 -1.9203 3.4907
-2.5840 -2.5305 -4.4258
3.0324 -4.7515 0.9462
Pm K
4 1
direct
0.5000 0.0000 0.5000
0.0000 0.0000 0.0000
0.0000 0.5000 0.5000
0.5000 0.5000 0.0000
0.5000 0.5000 0.5000
```

## Properties
* calculated total energy: -3.04 eV per atom
* density of states at the Fermi level: 1.4341 states/eV per atom
* ΔE_f: 979 meV/atom

Entry 7:
Entry from Alexandria via LeMat-Bulk: a geometry-optimized LaCoTcP2 structure (PBE).

POSCAR file:
```
LaCoTcP2
1.0
3.9369 0.0000 0.0000
0.0000 3.9369 0.0000
-1.9684 -1.9684 5.5408
P Tc La Co
2 1 1 1
direct
0.6436 0.6436 0.2872
0.3564 0.3564 0.7128
0.7500 0.2500 0.5000
0.0000 0.0000 0.0000
0.2500 0.7500 0.5000
```

## Properties
* calculated total energy: -7.62 eV per atom
* density of states at the Fermi level: 0.6880 states/eV per atom
* ΔE_f: -973 meV/atom

Entry 8:
Entry from Alexandria via LeMat-Bulk: a geometry-optimized Cs3NpAu2Se6 structure (PBE).

POSCAR file:
```
Cs3NpAu2Se6
1.0
-3.8757 -5.4046 -4.3485
7.7429 -0.9349 1.5209
-2.1209 -4.7952 7.8501
Se Cs Np Au
6 3 1 2
direct
0.6958 0.8479 0.3149
0.3042 0.1521 0.6851
0.1521 0.8479 0.3149
0.1521 0.3042 0.3149
0.8479 0.1521 0.6851
0.8479 0.6958 0.6851
0.3333 0.6667 0.6875
0.6667 0.3333 0.3125
0.0000 0.0000 0.0000
0.0000 0.0000 0.5000
0.3333 0.6667 0.3186
0.6667 0.3333 0.6814
```

## Properties
* calculated total energy: -4.31 eV per atom
* density of states at the Fermi level: 0.7530 states/eV per atom
* formation energy without anion corrections: -0.7329 eV/atom

Entry 9:
Entry from Alexandria via LeMat-Bulk: a geometry-optimized Cs2SmInCl6 structure (PBE).

POSCAR file:
```
Cs2SmInCl6
1.0
-3.7371 -5.8314 3.9315
-1.2142 -4.0301 -7.1319
9.9089 -5.4853 1.4127
Sm Cl In Cs
2 12 2 4
direct
0.5000 0.0000 0.5000
0.0000 0.5000 0.0000
0.7757 0.8145 0.5398
0.4175 0.9761 0.7306
0.0825 0.4761 0.7694
0.8178 0.7713 0.9552
0.2243 0.1855 0.4602
0.9175 0.5239 0.2306
0.7243 0.3145 0.9602
0.5825 0.0239 0.2694
0.1822 0.2287 0.0448
0.2757 0.6855 0.0398
0.3178 0.7287 0.4552
0.6822 0.2713 0.5448
0.0000 0.5000 0.5000
0.5000 0.0000 0.0000
0.0170 0.9421 0.2503
0.9830 0.0579 0.7497
0.4830 0.4421 0.2497
0.5170 0.5579 0.7503
```

## Properties
* calculated total energy: -3.95 eV per atom
* density of states at the Fermi level: 0.0000 states/eV per atom
* formation energy without anion corrections: -1.9243 eV/atom

Entry 10:
Entry from Alexandria via LeMat-Bulk: a geometry-optimized NiP4Pt structure (PBE).

POSCAR file:
```
NiP4Pt
1.0
0.0000 3.5145 3.5145
3.5145 0.0000 3.5145
3.5145 3.5145 0.0000
P Ni Pt
4 1 1
direct
0.3706 0.8883 0.3706
0.3706 0.3706 0.3706
0.8883 0.3706 0.3706
0.3706 0.3706 0.8883
0.0000 0.0000 0.0000
0.7500 0.7500 0.7500
```

## Properties
* calculated total energy: -4.86 eV per atom
* density of states at the Fermi level: 0.9467 states/eV per atom
* ΔE_f: 714 meV/atom

Entry 11:
Entry from Alexandria via LeMat-Bulk: a geometry-optimized SrEr2S4 structure (PBE).

POSCAR file:
```
SrEr2S4
1.0
7.8069 0.2783 0.0000
-2.3524 7.4493 0.0000
-2.7273 -3.8638 6.2176
S Sr Er
8 2 4
direct
0.4029 0.7134 0.3088
0.8471 0.6559 0.8105
0.2866 0.5953 0.6895
0.9059 0.5971 0.3105
0.9634 0.1529 0.8088
0.8453 0.0366 0.1895
0.4047 0.0941 0.6912
0.3441 0.1547 0.1912
0.5000 0.5000 0.0000
0.7500 0.2500 0.5000
0.6250 0.8742 0.7492
0.1250 0.8758 0.2508
0.1242 0.3750 0.2492
0.1258 0.8750 0.7508
```

## Properties
* calculated total energy: -5.97 eV per atom
* density of states at the Fermi level: 0.0000 states/eV per atom
* offset from the most stable computed form: 6.86 kJ per mole of atoms
* formation energy without anion corrections: -2.0661 eV/atom

Entry 12:
Entry from Alexandria via LeMat-Bulk: a geometry-optimized Rb2IrRu structure (PBE).

POSCAR file:
```
Rb2IrRu
1.0
-12.0021 -3.3888 3.3187
1.1308 -10.8136 -6.9525
-4.6044 -8.2155 0.0515
Rb Ru Ir
4 2 2
direct
0.3253 0.6250 0.2500
0.8750 0.6747 0.7500
0.4247 0.1250 0.2500
0.3750 0.5753 0.7500
0.2500 0.7500 0.5000
0.5000 0.5000 0.0000
0.7500 0.2500 0.5000
0.0000 0.0000 0.0000
```

## Properties
* calculated total energy: -3.95 eV per atom
* density of states at the Fermi level: 2.0280 states/eV per atom
* offset from the most stable computed form: 0.00 kJ per mole of atoms
* ΔE_f: 1069 meV/atom